PBE-GGA Er4NiPd, optimized geometry; energy of formation from the pure elements = -7.18 kcal/mol of atoms; Fermi-level density of states = 1.020 states/eV per atom; energy above the most stable polymorph in this dataset = 0.0859 eV/atom
1.0
-6.7306 2.6309 -2.4974
1.1958 -7.5354 -0.4981
0.2445 1.6578 7.4600
Er Ni Pd
8 2 2
direct
0.7403 0.0344 0.2941
0.7844 0.9903 0.7941
0.7403 0.4462 0.7059
0.7076 0.5101 0.1976
0.1962 0.9903 0.2059
0.3125 0.5101 0.8024
0.2601 0.9576 0.6976
0.2601 0.5625 0.3024
0.7526 0.7526 0.0000
0.5026 0.0026 0.5000
0.2466 0.2466 0.0000
0.9966 0.4966 0.5000

=====

PBE-GGA Er7Ni2Pd2, optimized geometry; energy of formation from the pure elements = -7.68 kcal/mol of atoms; Fermi-level density of states = 0.891 states/eV per atom; energy above the most stable polymorph in this dataset = 0.1631 eV/atom
1.0
-1.6932 -5.6719 2.7288
6.1357 -0.4630 2.8437
-1.5306 4.8376 4.0913
Er Pd Ni
7 2 2
direct
0.0002 0.7428 0.4997
0.4998 0.2521 0.5002
0.0000 0.0000 0.0000
0.5002 0.7479 0.4998
0.4997 0.2572 0.0002
0.5003 0.7428 0.9998
0.9998 0.2572 0.5003
0.8103 0.5000 0.8103
0.1897 0.5000 0.1897
0.2890 0.0000 0.7110
0.7110 0.0000 0.2890

=====

PBE-GGA Er8NiPd2, optimized geometry; energy of formation from the pure elements = -9.06 kcal/mol of atoms; Fermi-level density of states = 1.224 states/eV per atom; energy above the most stable polymorph in this dataset = 0.0000 eV/atom
1.0
-1.9001 -4.6212 0.4353
5.4163 -1.9132 3.3314
-4.4440 5.0984 5.8326
Er Pd Ni
8 2 1
direct
0.7954 0.6780 0.5909
0.5896 0.4445 0.1791
0.0315 0.7859 0.0629
0.4104 0.5555 0.8209
0.9685 0.2141 0.9371
0.6624 0.9755 0.3248
0.2046 0.3220 0.4091
0.3376 0.0245 0.6752
0.1895 0.7303 0.3790
0.8105 0.2697 0.6210
0.5000 0.0000 0.0000

=====

PBE-GGA Er2NiPd, optimized geometry; energy of formation from the pure elements = -15.30 kcal/mol of atoms; Fermi-level density of states = 0.777 states/eV per atom; energy above the most stable polymorph in this dataset = 0.0355 eV/atom
1.0
-3.3137 -2.0501 -2.8736
-2.5212 -3.8279 1.5595
-4.7095 0.4578 1.0255
Ni Er Pd
1 2 1
direct
0.5000 0.5000 0.5000
0.7500 0.7500 0.7500
0.2500 0.2500 0.2500
0.0000 0.0000 0.0000

=====

PBE-GGA Er7Ni2Pd2, optimized geometry; energy of formation from the pure elements = -11.44 kcal/mol of atoms; Fermi-level density of states = 1.068 states/eV per atom; energy above the most stable polymorph in this dataset = 0.0000 eV/atom
1.0
-3.0519 -0.3368 2.0137
-3.3897 -7.8877 -3.1088
1.7421 -7.6238 4.7131
Er Ni Pd
7 2 2
direct
0.8054 0.0957 0.2935
0.6177 0.4880 0.2767
0.1275 0.1270 0.6179
0.5000 0.9926 0.0074
0.8725 0.3821 0.8730
0.1946 0.7065 0.9043
0.3823 0.7233 0.5120
0.2597 0.3468 0.1338
0.7403 0.8662 0.6532
0.0000 0.7647 0.2353
0.5000 0.3609 0.6391

=====

PBE-GGA PmErNiPd, optimized geometry; energy of formation from the pure elements = -13.10 kcal/mol of atoms; Fermi-level density of states = 1.029 states/eV per atom; energy above the most stable polymorph in this dataset = 0.0593 eV/atom
1.0
4.9304 0.0000 0.0000
2.4652 4.2699 0.0000
2.4652 1.4233 4.0257
Pm Er Pd Ni
1 1 1 1
direct
0.5000 0.5000 0.5000
0.0000 0.0000 0.0000
0.7500 0.7500 0.7500
0.2500 0.2500 0.2500

=====

PBE-GGA PmErNiPd, optimized geometry; energy of formation from the pure elements = -14.47 kcal/mol of atoms; Fermi-level density of states = 0.631 states/eV per atom; energy above the most stable polymorph in this dataset = 0.0000 eV/atom
1.0
-0.0226 -2.5984 2.7807
3.7546 -1.7658 -1.6196
2.7901 4.4697 1.5948
Ni Pd Pm Er
1 1 1 1
direct
0.4182 0.0000 0.8364
0.5764 0.5000 0.1527
0.1420 0.0000 0.2840
0.8634 0.5000 0.7269

=====

PBE-GGA PrErNiPd, optimized geometry; energy of formation from the pure elements = -12.16 kcal/mol of atoms; Fermi-level density of states = 0.983 states/eV per atom; energy above the most stable polymorph in this dataset = 0.0675 eV/atom
1.0
4.9695 0.0000 0.0000
2.4848 4.3037 0.0000
2.4848 1.4346 4.0576
Ni Er Pr Pd
1 1 1 1
direct
0.2500 0.2500 0.2500
0.0000 0.0000 0.0000
0.5000 0.5000 0.5000
0.7500 0.7500 0.7500

=====

Fermi-level density of states of number 5 (Er7Ni2Pd2)?
1.068 states/eV per atom